Material: La2CdCu
Method: DFT, GGA-PBEsol
State: relaxed

Output
M_tot (μB per cell): 0.001
Formation energy from the elements (eV/atom): -0.001
ρ (g cm⁻³): 8.21
Electronic total energy (eV for the cell shown): -64.9

```
data_La2CdCu
_cell_length_a 7.159
_cell_length_b 7.159
_cell_length_c 7.159
_cell_angle_alpha 90.00
_cell_angle_beta 90.00
_cell_angle_gamma 90.00
_symmetry_space_group_name_H-M 'F -4 3 m'
_symmetry_Int_Tables_number 216
_symmetry_space_group_name_Hall 'F -4 2 3'
loop_
_atom_site_label
_atom_site_type_symbol
_atom_site_fract_x
_atom_site_fract_y
_atom_site_fract_z
_atom_site_occupancy
La1 La 0.000 0.000 0.000 1
La2 La 0.250 0.250 0.250 1
Cd1 Cd 0.000 0.000 0.500 1
Cu1 Cu 0.250 0.250 0.750 1
```